# 1
Crystalline LaAgCl at its relaxed geometry. Source: the Alexandria database, functional PBE.

Cell lengths 4.8326, 4.8326, 8.4824 Å; angles 73.45, 73.45, 60.00 degrees
Last column: nearest neighbours and their distance in Å.
Sites, in units of the cell vectors:
La (0.4248, 0.4248, 0.7255)  4 Cl 3.06-3.14, 6 Ag 3.29-3.36
La (0.5752, 0.5752, 0.2745)  4 Cl 3.06-3.14, 6 Ag 3.29-3.36
Cl (0.2941, 0.2941, 0.1178)  4 La 3.06-3.14, 1 Ag 3.13, 3 Cl 3.37
Cl (0.7059, 0.7059, 0.8822)  4 La 3.06-3.14, 1 Ag 3.13, 3 Cl 3.37
Ag (0.1640, 0.1640, 0.5081)  3 Ag 2.79, 1 Cl 3.13
Ag (0.8360, 0.8360, 0.4919)  3 Ag 2.79, 1 Cl 3.13

Values from the calculation:
For the energy above the most stable polymorph in this dataset, the calculation gives 0.0 meV/atom. The magnetic moment comes out at 0.000 μB per cell.

---

# 2
Crystalline Ac2CeNpN5 at its relaxed geometry. Source: the Alexandria database, functional PBE.

Cell lengths 4.1694, 4.1694, 9.1779 Å; angles 90.00, 90.00, 90.00 degrees
Last column: nearest neighbours and their distance in Å.
Sites, in units of the cell vectors:
N (0.0000, 0.5000, 0.5000)  2 Np 2.08
N (0.0000, 0.0000, 0.2469)  1 Ce 2.27, 1 Np 2.32
N (0.5000, 0.0000, 0.5000)  2 Np 2.08
N (0.0000, 0.0000, 0.7531)  1 Ce 2.27, 1 Np 2.32
N (0.5000, 0.5000, 0.0000)  2 Ac 2.52
Ce (0.0000, 0.0000, 0.0000)  2 N 2.27
Ac (0.5000, 0.5000, 0.7257)  1 N 2.52
Ac (0.5000, 0.5000, 0.2743)  1 N 2.52
Np (0.0000, 0.0000, 0.5000)  6 N 2.08-2.32

Values from the calculation:
The magnetic moment comes out at 1.907 μB per cell. Its uncorrected energy is -8.8024 eV per atom.

---

# 3
Crystalline TbHfMn17 at its relaxed geometry. Source: the Alexandria database, functional PBE.

Cell lengths 6.2368, 6.2368, 6.2368 Å; angles 81.76, 81.76, 81.76 degrees
Last column: nearest neighbours and their distance in Å.
Sites, in units of the cell vectors:
Mn (0.8450, 0.3419, 0.3419)  9 Mn 2.34-2.56
Mn (0.0919, 0.0919, 0.0919)  4 Mn 2.25-2.50
Mn (0.6580, 0.1558, 0.6580)  9 Mn 2.37-2.57
Mn (0.0014, 0.0014, 0.4952)  10 Mn 2.34-2.56
Mn (0.0049, 0.2917, 0.7033)  8 Mn 2.34-2.56
Mn (0.0049, 0.7033, 0.2917)  8 Mn 2.34-2.56
Mn (0.6580, 0.6580, 0.1558)  9 Mn 2.37-2.57
Mn (0.1558, 0.6580, 0.6580)  9 Mn 2.37-2.57
Mn (0.7033, 0.0049, 0.2917)  8 Mn 2.34-2.56
Mn (0.2917, 0.7033, 0.0049)  8 Mn 2.34-2.56
Mn (0.7033, 0.2917, 0.0049)  8 Mn 2.34-2.56
Mn (0.4952, 0.0014, 0.0014)  10 Mn 2.34-2.56
Mn (0.2917, 0.0049, 0.7033)  8 Mn 2.34-2.56
Mn (0.3419, 0.8450, 0.3419)  9 Mn 2.34-2.56
Mn (0.9086, 0.9086, 0.9086)  1 Mn 2.25
Mn (0.3419, 0.3419, 0.8450)  9 Mn 2.34-2.56
Mn (0.0014, 0.4952, 0.0014)  10 Mn 2.34-2.56
Tb (0.6558, 0.6558, 0.6558)  19 Mn 2.93-3.22
Hf (0.3452, 0.3452, 0.3452)  19 Mn 2.87-3.20

Values from the calculation:
The magnetic moment comes out at 0.016 μB per cell. Its uncorrected energy is -8.9633 eV per atom.

---

# 4
Crystalline Y6Sb2Te3Se at its relaxed geometry. Source: the Alexandria database, functional PBE.

Cell lengths 4.3206, 8.6847, 9.7314 Å; angles 103.54, 102.83, 90.00 degrees
Last column: nearest neighbours and their distance in Å.
Sites, in units of the cell vectors:
Te (0.8302, 0.1652, 0.6605)  6 Y 3.11-3.23
Te (0.5000, 0.5000, 0.0000)  6 Y 3.09-3.22
Te (0.1698, 0.8348, 0.3395)  6 Y 3.11-3.23
Y (0.9992, 0.7752, 0.9984)  2 Se 2.91, 1 Sb 3.05, 3 Te 3.15-3.22
Y (0.6548, 0.0822, 0.3097)  1 Se 2.85, 2 Sb 3.03, 2 Te 3.11
Y (0.3452, 0.9178, 0.6903)  1 Se 2.85, 2 Sb 3.03, 2 Te 3.11
Y (0.0008, 0.2248, 0.0016)  2 Se 2.91, 1 Sb 3.05, 3 Te 3.15-3.22
Y (0.6679, 0.5759, 0.3358)  3 Sb 3.02-3.06, 3 Te 3.09-3.11
Y (0.3321, 0.4241, 0.6642)  3 Sb 3.02-3.06, 3 Te 3.09-3.11
Sb (0.8339, 0.6687, 0.6679)  6 Y 3.02-3.06
Sb (0.1661, 0.3313, 0.3321)  6 Y 3.02-3.06
Se (0.5000, 0.0000, 0.0000)  6 Y 2.85-2.91

Values from the calculation:
The magnetic moment comes out at 0.000 μB per cell. Its uncorrected energy is -6.3654 eV per atom.

---

# 5
Crystalline Li2MnTc at its relaxed geometry. Source: the Alexandria database, functional PBE.

Cell lengths 2.5584, 2.5584, 9.3918 Å; angles 90.00, 90.00, 113.62 degrees
Last column: nearest neighbours and their distance in Å.
Sites, in units of the cell vectors:
Mn (0.5000, 0.5000, 0.2500)  6 Mn 2.56-2.80, 4 Li 2.74
Tc (0.5000, 0.5000, 0.7500)  6 Tc 2.56-2.80, 4 Li 2.73
Li (0.0000, 0.0000, 0.5006)  6 Li 2.56-2.80, 2 Tc 2.73, 2 Mn 2.74
Li (0.0000, 0.0000, 0.9994)  6 Li 2.56-2.80, 2 Tc 2.73, 2 Mn 2.74

Values from the calculation:
For the energy above the most stable polymorph in this dataset, the calculation gives 145.7 meV/atom. The magnetic moment comes out at 2.798 μB per cell.

---

# 6
Crystalline Tl3In7Hg4 at its relaxed geometry. Source: the Alexandria database, functional PBE.

Cell lengths 4.7352, 9.5327, 9.7245 Å; angles 72.09, 75.91, 75.62 degrees
Last column: nearest neighbours and their distance in Å.
Sites, in units of the cell vectors:
Hg (0.6358, 0.4807, 0.2478)  5 In 2.92-3.20
Hg (0.8626, 0.9300, 0.3448)  6 In 2.96-3.18
Hg (0.3642, 0.5193, 0.7522)  5 In 2.92-3.20
Hg (0.1374, 0.0700, 0.6552)  6 In 2.96-3.18
In (0.4963, 0.1834, 0.8240)  3 Hg 3.00-3.18, 3 In 3.12-3.25
In (0.5037, 0.8166, 0.1761)  3 Hg 3.00-3.18, 3 In 3.12-3.25
In (0.8367, 0.3774, 0.9493)  3 Hg 3.08-3.20, 3 In 3.37-3.39, 2 Tl 3.44
In (0.0000, 0.0000, 0.0000)  6 In 3.12-3.39, 2 Hg 3.14
In (0.6640, 0.1962, 0.4758)  4 Hg 2.92-3.03, 1 In 3.25
In (0.3360, 0.8038, 0.5242)  4 Hg 2.92-3.03, 1 In 3.25
In (0.1633, 0.6226, 0.0507)  3 Hg 3.08-3.20, 3 In 3.37-3.39, 2 Tl 3.44
Tl (0.7027, 0.7967, 0.7978)  9 In 3.44-3.83, 4 Hg 3.46-3.60
Tl (0.2973, 0.2033, 0.2022)  9 In 3.44-3.83, 4 Hg 3.46-3.60
Tl (0.0000, 0.5000, 0.5000)  4 Hg 3.39, 4 In 3.72

Values from the calculation:
The magnetic moment comes out at 0.000 μB per cell. Its uncorrected energy is -1.9540 eV per atom.